MnFeMo2, optimized geometry, DFT PBE; energy of formation = 109 meV/atom; VASP energy = -38.86 eV per cell
1.0
3.072 0.000 0.000
0.000 3.072 0.000
0.000 0.000 5.844
Mo Mn Fe
2 1 1
Direct
0.500 0.500 0.268 Mo
0.000 0.000 0.983 Mo
0.500 0.500 0.745 Mn
0.000 0.000 0.505 Fe